Entry 1:
SrUTaS6 | PBE | relaxed

a = 6.583 Å, b = 6.583 Å, c = 12.871 Å
α = 90.00°, β = 90.00°, γ = 120.00°
Element x y z (fractional)
Sr 0.000 0.000 0.000
Sr 0.000 0.000 0.500
U 0.333 0.667 0.250
U 0.667 0.333 0.750
Ta 0.333 0.667 0.750
Ta 0.667 0.333 0.250
S 0.017 0.382 0.637
S 0.017 0.635 0.863
S 0.365 0.382 0.863
S 0.365 0.983 0.637
S 0.382 0.017 0.137
S 0.382 0.365 0.363
S 0.618 0.635 0.637
S 0.618 0.983 0.863
S 0.635 0.017 0.363
S 0.635 0.618 0.137
S 0.983 0.365 0.137
S 0.983 0.618 0.363

formation energy from raw total energies = -1.309 eV per atom
symmetry = No. 163

***

Entry 2:
Cs3CdHg6 | PBE | relaxed

a = 8.644 Å, b = 8.644 Å, c = 8.644 Å
α = 113.36°, β = 113.36°, γ = 113.36°
Element x y z (fractional)
Cs 0.000 0.500 0.500
Cs 0.500 0.000 0.500
Cs 0.500 0.500 0.000
Cd 0.503 0.503 0.503
Hg 0.074 0.074 0.343
Hg 0.074 0.343 0.074
Hg 0.343 0.074 0.074
Hg 0.655 0.927 0.927
Hg 0.927 0.655 0.927
Hg 0.927 0.927 0.655

symmetry = No. 160
DFT formation energy = -2.0 eV per formula unit

***

Entry 3:
LiMnBi2Se | PBE | relaxed

a = 5.437 Å, b = 5.437 Å, c = 4.379 Å
α = 90.00°, β = 90.00°, γ = 90.00°
Element x y z (fractional)
Li 0.000 0.000 0.000
Mn 0.500 0.500 0.500
Bi 0.000 0.500 0.500
Bi 0.500 0.000 0.500
Se 0.500 0.500 0.000

formation energy from raw total energies = 0.235 eV per atom
symmetry = No. 123

***

Entry 4:
Y4Ho3Sc4 | PBE | relaxed

a = 3.400 Å, b = 5.443 Å, c = 17.538 Å
α = 81.09°, β = 84.45°, γ = 89.99°
Element x y z (fractional)
Y 0.090 0.090 0.319
Y 0.232 0.732 0.036
Y 0.768 0.268 0.964
Y 0.910 0.910 0.681
Ho 0.365 0.364 0.772
Ho 0.500 0.000 0.500
Ho 0.635 0.636 0.228
Sc 0.043 0.544 0.411
Sc 0.179 0.181 0.139
Sc 0.821 0.819 0.861
Sc 0.957 0.456 0.589

symmetry = No. 2
DFT formation energy = 0.9 eV per formula unit

***

Entry 5:
Pm3Er2Tl7 | PBE | relaxed

a = 13.053 Å, b = 13.053 Å, c = 5.488 Å
α = 90.00°, β = 90.00°, γ = 156.65°
Element x y z (fractional)
Pm 0.000 0.000 0.000
Pm 0.158 0.842 0.000
Pm 0.842 0.158 0.000
Er 0.350 0.650 0.500
Er 0.650 0.350 0.500
Tl 0.077 0.923 0.500
Tl 0.223 0.777 0.500
Tl 0.417 0.583 0.000
Tl 0.500 0.500 0.500
Tl 0.583 0.417 0.000
Tl 0.777 0.223 0.500
Tl 0.923 0.077 0.500

symmetry = No. 65
DFT formation energy = -1.3 eV per formula unit

***

Entry 6:
RbSiB | PBE | relaxed

a = 3.451 Å, b = 7.065 Å, c = 7.185 Å
α = 118.20°, β = 103.70°, γ = 90.57°
Element x y z (fractional)
Rb 0.000 0.000 0.000
Rb 0.326 0.346 0.672
Si 0.246 0.780 0.485
Si 0.666 0.510 0.334
B 0.337 0.665 0.166
B 0.837 0.664 0.166

formation energy from raw total energies = 0.181 eV per atom
symmetry = No. 1

***

The records above give, respectively, spin magnetization values of 0.1129 0.0000 0.0028 0.0000 0.0002 0.0000 μB per atom.